A geometry-optimized MnZnO2 structure. Source: Alexandria via LeMat-Bulk, functional GGA+U.

Values from the calculation:
E_tot = -5.729 eV/atom
space group = Cmcm
DOS at the Fermi energy = 0.343 states/eV per atom

abc: 7.599 7.599 4.280
angles: 90.00 90.00 156.11
Element x y z (fractional)
Zn1 0.324 0.676 0.250
Zn2 0.676 0.324 0.750
Mn1 0.069 0.931 0.250
Mn2 0.931 0.069 0.750
O1 0.197 0.803 0.250
O2 0.803 0.197 0.750
O3 0.927 0.073 0.250
O4 0.073 0.927 0.750